NaRe2Os | PBE-GGA | optimized geometry

CIF file:
```
data_NaRe2Os
_chemical_formula_sum 'Na4 Re8 Os4'
_symmetry_space_group_name_H-M 'F m -3 m'
_symmetry_Int_Tables_number 225
_symmetry_space_group_name_Hall '-F 4 2 3'
_cell_length_a 6.2193
_cell_length_b 6.2193
_cell_length_c 6.2193
_cell_angle_alpha 90.00
_cell_angle_beta 90.00
_cell_angle_gamma 90.00
loop_
_atom_site_label
_atom_site_type_symbol
_atom_site_fract_x
_atom_site_fract_y
_atom_site_fract_z
Na1 Na 0.0000 0.0000 0.0000
Re1 Re 0.2500 0.2500 0.2500
Os1 Os 0.0000 0.0000 0.5000
```

Values from the calculation:
Energy relative to the elements, kcal/mol of atoms: 21.5
ΔE to the lowest computed polymorph, kcal/mol of atoms: 0.00
Total magnetization, μB/atom: 0.000
Crystal system: cubic